# LiVBO4

LiVBO4 after structural relaxation (PBE+U, Alexandria via LeMat-Bulk).

Relative energy among the computed polymorphs   47.1 meV per atom

Cell lengths 4.5751, 4.5751, 7.4055 Å; angles 90.00, 90.00, 90.00 degrees
Space group I-4 (No. 82)
Unique sites:
Li  0.0000  0.0000  0.0000
V  0.0000  0.0000  0.5000
B  0.0000  0.5000  0.2500
O  0.1647  0.7105  0.3636